No. 1
Here is a relaxed AlCu2Ni3 crystal from Alexandria via LeMat-Bulk. Energies are from PBE-GGA.

Computed properties:
The calculation puts the volume at 145.7 Å³/cell. As for the space group: P6_3/mmc, No. 194. The calculation puts the raw total energy at -59.7 eV for the cell shown.

a b c (Å): 4.7440 4.7440 7.4773
angles (deg): 90.00 90.00 120.00
Closest atoms and distances in Å follow each position.
Fractional coordinates of all 12 atoms:
Ni (0.8280, 0.6560, 0.2500)  4 Ni 2.30-2.45, 2 Al 2.34
Ni (0.3440, 0.1720, 0.2500)  4 Ni 2.30-2.45, 2 Al 2.34
Ni (0.8280, 0.1720, 0.2500)  4 Ni 2.30-2.45, 2 Al 2.34
Ni (0.1720, 0.3440, 0.7500)  4 Ni 2.30-2.45, 2 Al 2.34
Ni (0.6560, 0.8280, 0.7500)  4 Ni 2.30-2.45, 2 Al 2.34
Ni (0.1720, 0.8280, 0.7500)  4 Ni 2.30-2.45, 2 Al 2.34
Al (0.0000, 0.0000, 0.0000)  6 Ni 2.34
Al (0.0000, 0.0000, 0.5000)  6 Ni 2.34
Cu (0.3333, 0.6667, 0.0719)  4 Cu 2.66-2.94, 9 Ni 2.72-2.75, 3 Al 2.79
Cu (0.6667, 0.3333, 0.5719)  4 Cu 2.66-2.94, 9 Ni 2.72-2.75, 3 Al 2.79
Cu (0.6667, 0.3333, 0.9281)  4 Cu 2.66-2.94, 9 Ni 2.72-2.75, 3 Al 2.79
Cu (0.3333, 0.6667, 0.4281)  4 Cu 2.66-2.94, 9 Ni 2.72-2.75, 3 Al 2.79

---

No. 2
Here is a relaxed NaRh3Pb2O8 crystal from Alexandria via LeMat-Bulk. Energies are from PBE-GGA.

Computed properties:
The value obtained for the formation energy from raw total energies is -92.3 kJ/mol of atoms. The calculation puts the volume at 198.9 Å³/cell. As for the space group: R3m, No. 160.

a b c (Å): 6.4061 6.4061 6.7087
angles (deg): 61.48 61.48 60.00
Closest atoms and distances in Å follow each position.
Fractional coordinates of all 14 atoms:
Na (0.8759, 0.8759, 0.3724)  4 O 2.28-2.50
Rh (0.5003, 0.9943, 0.0051)  6 O 2.04-2.11
Rh (0.9943, 0.5003, 0.0051)  6 O 2.04-2.11
Rh (0.5003, 0.5003, 0.0051)  6 O 2.04-2.11
Pb (0.1231, 0.1231, 0.6308)  4 O 2.30-2.53
Pb (0.5014, 0.5014, 0.4958)  6 O 2.35-2.38
O (0.2736, 0.2736, 0.1793)  3 Rh 2.11
O (0.7269, 0.7269, 0.8192)  3 Rh 2.10
O (0.2515, 0.2515, 0.8075)  2 Rh 2.08, 1 Pb 2.30
O (0.6894, 0.2515, 0.8075)  2 Rh 2.08, 1 Pb 2.30
O (0.2515, 0.6894, 0.8075)  2 Rh 2.08, 1 Pb 2.30
O (0.7494, 0.3056, 0.1955)  2 Rh 2.04, 1 Na 2.28
O (0.3056, 0.7494, 0.1955)  2 Rh 2.04, 1 Na 2.28
O (0.7494, 0.7494, 0.1955)  2 Rh 2.04, 1 Na 2.28

---

No. 3
Here is a relaxed HfTa2N4 crystal from Alexandria via LeMat-Bulk. Energies are from PBE-GGA.

Computed properties:
The value obtained for the formation energy from raw total energies is -120.6 kJ/mol of atoms. The calculation puts the volume at 157.3 Å³/cell. As for the space group: Cmcm, No. 63.

a b c (Å): 3.0317 5.2933 10.2340
angles (deg): 90.00 90.00 106.64
Closest atoms and distances in Å follow each position.
Fractional coordinates of all 14 atoms:
Hf (0.6257, 0.2515, 0.7500)  6 N 2.18-2.26
Hf (0.3743, 0.7485, 0.2500)  6 N 2.18-2.26
Ta (0.1295, 0.2589, 0.4257)  6 N 2.07-2.21
Ta (0.8705, 0.7411, 0.9257)  6 N 2.07-2.21
Ta (0.1295, 0.2589, 0.0743)  6 N 2.07-2.21
Ta (0.8705, 0.7411, 0.5743)  6 N 2.07-2.21
N (0.7747, 0.5494, 0.1200)  3 Ta 2.17-2.21, 2 Hf 2.26
N (0.7747, 0.5494, 0.3800)  3 Ta 2.17-2.21, 2 Hf 2.26
N (0.2253, 0.4506, 0.8800)  3 Ta 2.17-2.21, 2 Hf 2.26
N (0.2253, 0.4506, 0.6200)  3 Ta 2.17-2.21, 2 Hf 2.26
N (0.9711, 0.9422, 0.7500)  2 Ta 2.07, 2 Hf 2.18
N (0.0289, 0.0578, 0.2500)  2 Ta 2.07, 2 Hf 2.18
N (0.5000, 0.0000, 0.0000)  4 Ta 2.14
N (0.5000, 0.0000, 0.5000)  4 Ta 2.14

---

No. 4
Here is a relaxed LaTaW2 crystal from Alexandria via LeMat-Bulk. Energies are from PBE-GGA.

Computed properties:
The calculation puts the volume at 172.2 Å³/cell. As for the space group: I-42d, No. 122. The calculation puts the raw total energy at -76.1 eV for the cell shown.

a b c (Å): 7.8052 7.8052 6.2011
angles (deg): 51.00 51.00 90.00
Closest atoms and distances in Å follow each position.
Fractional coordinates of all 8 atoms:
La (0.5000, 0.5000, 0.0000)  2 Ta 2.83, 4 W 3.03
La (0.2500, 0.7500, 0.5000)  2 Ta 2.83, 4 W 3.03
W (0.6571, 0.1250, 0.2500)  2 Ta 2.68, 2 W 2.87
W (0.0929, 0.6250, 0.2500)  2 Ta 2.68, 2 W 2.87
W (0.3750, 0.3429, 0.7500)  2 Ta 2.68, 2 W 2.87
W (0.8750, 0.9071, 0.7500)  2 Ta 2.68, 2 W 2.87
Ta (0.0000, 0.0000, 0.0000)  4 W 2.68, 2 La 2.83
Ta (0.7500, 0.2500, 0.5000)  4 W 2.68, 2 La 2.83